# Sc2NbRe2

Sc2NbRe2 after structural relaxation (PBE, Alexandria).

Computed properties:
For the final energy, the calculation gives -8.965 eV/atom. The value obtained for the formation energy is 54.1 kJ/mol of atoms. The value obtained for the magnetization is 0.00 μB per cell. The value obtained for the density of states at the Fermi level is 5.4 states/eV/cell. The calculation puts the offset from the most stable computed form at 506 meV/atom.

```
Sc2NbRe2
1.0
3.484 0.000 0.000
0.000 3.484 0.000
1.742 1.742 8.710
Nb Re Sc
1 2 2
Cartesian
0.000 0.000 0.000
1.742 3.484 4.355
3.484 1.742 4.355
1.742 1.742 1.929
3.484 3.484 6.781
```


# LaTa4Al

LaTa4Al after structural relaxation (PBE, Alexandria).

Computed properties:
For the final energy, the calculation gives -8.971 eV/atom. The value obtained for the formation energy is 36.2 kJ/mol of atoms. The value obtained for the magnetization is 0.00 μB per cell. The value obtained for the density of states at the Fermi level is 6.6 states/eV/cell.

```
LaTa4Al
1.0
0.000 4.000 4.000
4.000 0.000 4.000
4.000 4.000 0.000
Ta Al La
4 1 1
Cartesian
2.992 2.992 2.992
5.008 5.008 2.992
5.008 2.992 5.008
2.992 5.008 5.008
6.000 6.000 6.000
0.000 0.000 0.000
```


# BeV2Fe5B2

BeV2Fe5B2 after structural relaxation (PBE, Alexandria).

Computed properties:
For the final energy, the calculation gives -8.118 eV/atom. The value obtained for the formation energy is -34.2 kJ/mol of atoms. The value obtained for the magnetization is 1.20 μB per cell. The value obtained for the density of states at the Fermi level is 18.7 states/eV/cell.

```
BeV2Fe5B2
1.0
2.775 0.000 0.000
0.000 8.307 0.000
0.000 0.000 8.307
Fe B Be V
10 4 2 4
Cartesian
1.387 3.586 2.429
1.387 4.721 5.878
1.387 1.725 0.568
1.387 5.878 3.586
1.387 0.000 4.153
1.387 4.153 0.000
1.387 6.582 7.739
1.387 0.568 6.582
1.387 2.429 4.721
1.387 7.739 1.725
0.000 7.250 3.096
0.000 5.210 7.250
0.000 1.057 5.210
0.000 3.096 1.057
0.000 4.153 4.153
0.000 0.000 0.000
0.000 6.850 5.610
0.000 1.457 2.697
0.000 2.697 6.850
0.000 5.610 1.457
```


# Pr3YHoTm

Pr3YHoTm after structural relaxation (PBE, Alexandria).

Computed properties:
For the final energy, the calculation gives -4.951 eV/atom. The value obtained for the formation energy is 2.4 kJ/mol of atoms. The value obtained for the magnetization is 0.00 μB per cell. The value obtained for the density of states at the Fermi level is 18.2 states/eV/cell.

```
Pr3YHoTm
1.0
-0.300 0.624 -5.082
-3.434 -7.082 1.922
-9.049 4.688 1.109
Y Tm Ho Pr
2 2 2 6
Cartesian
-9.342 -0.715 -2.124
-3.441 -1.055 0.074
-2.421 1.468 -2.265
-10.362 -3.238 0.214
-4.525 2.344 0.555
0.000 0.000 0.000
-6.933 -2.202 0.139
-11.455 0.140 0.693
-4.816 -3.057 -2.679
-7.967 1.287 0.628
-5.850 0.432 -2.190
-1.328 -1.911 -2.744
```


# Pr2YCd

Pr2YCd after structural relaxation (PBE, Alexandria).

Computed properties:
For the final energy, the calculation gives -4.091 eV/atom. The value obtained for the formation energy is 13.9 kJ/mol of atoms. The value obtained for the magnetization is 0.00 μB per cell. The value obtained for the density of states at the Fermi level is 4.3 states/eV/cell. The calculation puts the offset from the most stable computed form at 303 meV/atom.

```
Pr2YCd
1.0
3.560 0.000 0.000
1.780 3.083 0.000
1.780 1.028 12.514
Y Cd Pr
1 1 2
Cartesian
3.560 2.055 6.257
0.000 0.000 0.000
1.780 1.028 9.179
5.339 3.083 3.336
```


# PrHoPb

PrHoPb after structural relaxation (PBE, Alexandria).

Computed properties:
For the final energy, the calculation gives -4.596 eV/atom. The value obtained for the formation energy is -23.3 kJ/mol of atoms. The value obtained for the magnetization is 0.00 μB per cell. The value obtained for the density of states at the Fermi level is 2.2 states/eV/cell. The calculation puts the offset from the most stable computed form at 223 meV/atom.

```
PrHoPb
1.0
4.140 0.000 0.000
0.000 5.214 0.000
0.000 -2.607 4.516
Ho Pb Pr
1 1 1
Cartesian
0.698 2.607 1.505
0.678 0.000 0.000
2.764 0.000 3.011
```


# CsKI

CsKI after structural relaxation (PBE, Alexandria).

Computed properties:
For the final energy, the calculation gives -2.075 eV/atom. The calculation puts the uncorrected formation energy at -0.91 eV/atom. The value obtained for the magnetization is 0.45 μB per cell. The value obtained for the density of states at the Fermi level is 5.9 states/eV/cell. The calculation puts the offset from the most stable computed form at 83 meV/atom.

```
CsKI
1.0
-7.790 3.683 2.113
-1.908 -6.956 5.091
4.564 4.840 8.386
I Cs K
4 4 4
Cartesian
-3.757 -1.610 8.228
-1.376 3.178 7.363
-5.099 2.524 13.404
-0.035 -0.956 2.187
-2.497 -2.605 4.714
-0.187 -0.198 8.900
-4.947 1.765 6.690
-2.637 4.172 10.876
-0.206 2.181 4.089
-4.927 -0.613 11.501
1.799 4.731 8.357
-6.933 -3.164 7.233
```


# Sm2Ho2Al

Sm2Ho2Al after structural relaxation (PBE, Alexandria).

Computed properties:
For the final energy, the calculation gives -4.016 eV/atom. The value obtained for the formation energy is 43.5 kJ/mol of atoms. The value obtained for the magnetization is 0.00 μB per cell. The value obtained for the density of states at the Fermi level is 6.9 states/eV/cell. The calculation puts the offset from the most stable computed form at 447 meV/atom.

```
Sm2Ho2Al
1.0
-3.918 2.992 0.308
-1.923 1.105 4.414
3.237 8.095 2.147
Ho Al Sm
2 1 2
Cartesian
-1.432 2.035 1.631
-1.173 10.158 5.238
0.000 0.000 0.000
-0.276 7.428 3.548
-2.328 4.765 3.321
```